This record from the Alexandria database describes a relaxed UPd8Au2 crystal. The functional is PBE.

It has space group Cmmm (No. 65), with a = 8.225 Å, b = 10.781 Å, c = 4.386 Å, α = 90.00°, β = 90.00° and γ = 90.00°. The asymmetric unit holds U at (0.000, 0.000, 0.000), Pd at (0.000, 0.236, 0.000), Pd at (0.167, 0.131, 0.500), Pd at (0.177, 0.500, 0.000) and Au at (0.000, 0.376, 0.500).

The value obtained for the magnetization is 0.00 μB per cell. As for the distance to the lowest polymorph of the same formula: 0 meV per atom. The calculation puts the density of states at the Fermi level at 0.494 states/eV per atom.

This record from the Alexandria database describes a relaxed UPd6Au5 crystal. The functional is PBE.

It has space group Cmmm (No. 65), with a = 4.297 Å, b = 12.650 Å, c = 7.632 Å, α = 90.00°, β = 90.00° and γ = 90.00°. The asymmetric unit holds U at (0.000, 0.000, 0.000), Pd at (0.000, 0.162, 0.247), Pd at (0.000, 0.500, 0.245), Au at (0.000, 0.000, 0.500), Au at (0.000, 0.330, 0.000) and Au at (0.000, 0.334, 0.500).

The value obtained for the magnetization is 2.74 μB per cell. For the electronic total energy, the calculation gives -5.172 eV/atom. The calculation puts the density of states at the Fermi level at 0.764 states/eV per atom.

This record from the Alexandria database describes a relaxed UPd8Au6 crystal. The functional is PBE.

It has space group P-3 (No. 147), with a = 7.7847 Å, b = 7.7847 Å, c = 5.0521 Å, α = 90.00°, β = 90.00° and γ = 120.00°. The asymmetric unit holds U at (0.0000, 0.0000, 0.0000), Pd at (0.0495, 0.7720, 0.6895), Pd at (0.3333, 0.6667, 0.6948) and Au at (0.1054, 0.6402, 0.1979).

The value obtained for the magnetization is 0.21 μB per cell. For the electronic total energy, the calculation gives -4.969 eV/atom. The calculation puts the density of states at the Fermi level at 0.545 states/eV per atom.

This record from the Alexandria database describes a relaxed UPd5Au crystal. The functional is PBE.

It has space group Cmmm (No. 65), with a = 5.582 Å, b = 8.095 Å, c = 5.701 Å, α = 90.00°, β = 90.00° and γ = 90.00°. The asymmetric unit holds U at (0.000, 0.000, 0.000), Pd at (0.000, 0.000, 0.500), Pd at (0.250, 0.250, 0.245) and Au at (0.000, 0.500, 0.500).

The value obtained for the magnetization is 3.14 μB per cell. As for the distance to the lowest polymorph of the same formula: 117 meV per atom. The calculation puts the density of states at the Fermi level at 1.258 states/eV per atom.

This record from the Alexandria database describes a relaxed U2Pd8Au3 crystal. The functional is PBE.

It has space group P-1 (No. 2), with a = 5.210 Å, b = 6.682 Å, c = 7.355 Å, α = 90.69°, β = 98.96° and γ = 108.75°. The asymmetric unit holds U at (0.163, 0.298, 0.211), Pd at (0.280, 0.042, 0.893), Pd at (0.291, 0.596, 0.934), Pd at (0.395, 0.381, 0.654), Pd at (0.428, 0.822, 0.610), Au at (0.000, 0.000, 0.500) and Au at (0.155, 0.788, 0.223).

The value obtained for the magnetization is 3.36 μB per cell. For the electronic total energy, the calculation gives -5.922 eV/atom. The calculation puts the density of states at the Fermi level at 1.200 states/eV per atom.

This record from the Alexandria database describes a relaxed UPd5Au crystal. The functional is PBE.

It has space group P-1 (No. 2), with a = 5.040 Å, b = 7.583 Å, c = 7.596 Å, α = 110.56°, β = 107.31° and γ = 104.23°. The asymmetric unit holds U at (0.041, 0.339, 0.063), Pd at (0.136, 0.711, 0.646), Pd at (0.227, 0.076, 0.219), Pd at (0.293, 0.428, 0.789), Pd at (0.353, 0.780, 0.352), Pd at (0.417, 0.139, 0.924), Au at (0.000, 0.000, 0.500) and Au at (0.500, 0.500, 0.500).

The value obtained for the magnetization is 3.28 μB per cell. As for the distance to the lowest polymorph of the same formula: 0 meV per atom. The calculation puts the density of states at the Fermi level at 1.088 states/eV per atom.

This record from the Alexandria database describes a relaxed UPd12Au3 crystal. The functional is PBE.

It has space group P4/mmm (No. 123), with a = 4.060 Å, b = 4.060 Å, c = 15.924 Å, α = 90.00°, β = 90.00° and γ = 90.00°. The asymmetric unit holds U at (0.000, 0.000, 0.000), Pd at (0.000, 0.500, 0.124), Pd at (0.000, 0.500, 0.377), Pd at (0.500, 0.500, 0.000), Pd at (0.500, 0.500, 0.252), Pd at (0.500, 0.500, 0.500), Au at (0.000, 0.000, 0.254) and Au at (0.000, 0.000, 0.500).

The value obtained for the magnetization is 1.04 μB per cell. For the electronic total energy, the calculation gives -5.415 eV/atom. The calculation puts the density of states at the Fermi level at 1.315 states/eV per atom.

This record from the Alexandria database describes a relaxed UPd6Au8 crystal. The functional is PBE.

It has space group P-3 (No. 147), with a = 7.6946 Å, b = 7.6946 Å, c = 5.6167 Å, α = 90.00°, β = 90.00° and γ = 120.00°. The asymmetric unit holds U at (0.0000, 0.0000, 0.0000), Pd at (0.0391, 0.3538, 0.8717), Au at (0.0217, 0.3359, 0.3784) and Au at (0.3333, 0.6667, 0.1469).

The value obtained for the magnetization is 1.28 μB per cell. For the electronic total energy, the calculation gives -4.682 eV/atom. The calculation puts the density of states at the Fermi level at 0.605 states/eV per atom.

This record from the Alexandria database describes a relaxed U2Pd4Au3 crystal. The functional is PBE.

It has space group C2/m (No. 12), with a = 8.943 Å, b = 4.338 Å, c = 8.922 Å, α = 90.00°, β = 102.27° and γ = 90.00°. The asymmetric unit holds U at (0.166, 0.000, 0.222), Pd at (0.005, 0.500, 0.333), Pd at (0.168, 0.000, 0.893), Au at (0.000, 0.500, 0.000) and Au at (0.163, 0.000, 0.563).

The value obtained for the magnetization is 8.90 μB per cell. As for the distance to the lowest polymorph of the same formula: 0 meV per atom. The calculation puts the density of states at the Fermi level at 1.577 states/eV per atom.

This record from the Alexandria database describes a relaxed UPd8Au2 crystal. The functional is PBE.

It has space group C2/m (No. 12), with a = 13.747 Å, b = 5.386 Å, c = 5.336 Å, α = 90.00°, β = 105.28° and γ = 90.00°. The asymmetric unit holds U at (0.000, 0.000, 0.000), Pd at (0.082, 0.500, 0.220), Pd at (0.088, 0.253, 0.696), Pd at (0.245, 0.500, 0.041) and Au at (0.209, 0.000, 0.414).

The value obtained for the magnetization is 1.91 μB per cell. As for the distance to the lowest polymorph of the same formula: 24 meV per atom. The calculation puts the density of states at the Fermi level at 0.969 states/eV per atom.

This record from the Alexandria database describes a relaxed U2Pd7Au crystal. The functional is PBE.

It has space group Cmmm (No. 65), with a = 8.466 Å, b = 15.771 Å, c = 2.945 Å, α = 90.00°, β = 90.00° and γ = 90.00°. The asymmetric unit holds U at (0.000, 0.174, 0.000), Pd at (0.000, 0.000, 0.000), Pd at (0.000, 0.319, 0.500), Pd at (0.229, 0.403, 0.000) and Au at (0.000, 0.500, 0.500).

The value obtained for the magnetization is 9.13 μB per cell. For the electronic total energy, the calculation gives -6.185 eV/atom. The calculation puts the density of states at the Fermi level at 0.979 states/eV per atom.

This record from the Alexandria database describes a relaxed UPd4Au crystal. The functional is PBE.

It has space group C2/m (No. 12), with a = 4.864 Å, b = 7.739 Å, c = 5.834 Å, α = 90.00°, β = 103.16° and γ = 90.00°. The asymmetric unit holds U at (0.000, 0.000, 0.000), Pd at (0.001, 0.326, 0.254) and Au at (0.000, 0.000, 0.500).

The value obtained for the magnetization is 3.51 μB per cell. As for the distance to the lowest polymorph of the same formula: 71 meV per atom. The calculation puts the density of states at the Fermi level at 1.467 states/eV per atom.

This record from the Alexandria database describes a relaxed U2Pd7Au2 crystal. The functional is PBE.

It has space group C2/m (No. 12), with a = 5.648 Å, b = 10.093 Å, c = 7.451 Å, α = 90.00°, β = 106.76° and γ = 90.00°. The asymmetric unit holds U at (0.000, 0.192, 0.000), Pd at (0.000, 0.000, 0.500), Pd at (0.205, 0.230, 0.668), Pd at (0.232, 0.500, 0.118) and Au at (0.137, 0.500, 0.700).

The value obtained for the magnetization is 9.07 μB per cell. As for the distance to the lowest polymorph of the same formula: 140 meV per atom. The calculation puts the density of states at the Fermi level at 1.017 states/eV per atom.

This record from the Alexandria database describes a relaxed U4Pd15Au crystal. The functional is PBE.

It has space group P4/mmm (No. 123), with a = 4.140 Å, b = 4.140 Å, c = 20.353 Å, α = 90.00°, β = 90.00° and γ = 90.00°. The asymmetric unit holds U at (0.000, 0.000, 0.103), U at (0.000, 0.000, 0.309), Pd at (0.000, 0.500, 0.000), Pd at (0.000, 0.500, 0.204), Pd at (0.000, 0.500, 0.401), Pd at (0.500, 0.500, 0.102), Pd at (0.500, 0.500, 0.302), Pd at (0.500, 0.500, 0.500) and Au at (0.000, 0.000, 0.500).

The value obtained for the magnetization is 7.64 μB per cell. For the electronic total energy, the calculation gives -6.771 eV/atom. The calculation puts the density of states at the Fermi level at 1.643 states/eV per atom.

This record from the Alexandria database describes a relaxed UPd2Au crystal. The functional is PBE.

It has space group C2/c (No. 15), with a = 7.919 Å, b = 7.719 Å, c = 5.268 Å, α = 90.00°, β = 106.46° and γ = 90.00°. The asymmetric unit holds U at (0.250, 0.250, 0.000), Pd at (0.132, 0.113, 0.494) and Au at (0.000, 0.444, 0.250).

The value obtained for the magnetization is 8.60 μB per cell. For the electronic total energy, the calculation gives -6.553 eV/atom. The calculation puts the density of states at the Fermi level at 1.602 states/eV per atom.

This record from the Alexandria database describes a relaxed U2Pd15Au2 crystal. The functional is PBE.

It has space group R-3m (No. 166, hexagonal axes), with a = 9.0652 Å, b = 9.0652 Å, c = 14.1370 Å, α = 90.00°, β = 90.00° and γ = 120.00°. The asymmetric unit holds U at (0.0000, 0.0000, 0.0867), Pd at (0.0000, 0.3190, 0.0000), Pd at (0.0000, 0.5000, 0.5000), Pd at (0.0009, 0.5005, 0.1583) and Au at (0.0000, 0.0000, 0.3106).

The value obtained for the magnetization is 0.52 μB per cell. For the electronic total energy, the calculation gives -5.704 eV/atom. The calculation puts the density of states at the Fermi level at 1.259 states/eV per atom.

This record from the Alexandria database describes a relaxed UPd6Au crystal. The functional is PBE.

It has space group R-3m (No. 166, hexagonal axes), with a = 5.4253 Å, b = 5.4253 Å, c = 19.9521 Å, α = 90.00°, β = 90.00° and γ = 120.00°. The asymmetric unit holds U at (0.0000, 0.0000, 0.0000), Pd at (0.0066, 0.5033, 0.4321) and Au at (0.0000, 0.0000, 0.5000).

The value obtained for the magnetization is 1.62 μB per cell. For the electronic total energy, the calculation gives -5.633 eV/atom. The calculation puts the density of states at the Fermi level at 0.947 states/eV per atom.

This record from the Alexandria database describes a relaxed U2Pd8Au crystal. The functional is PBE.

It has space group C2/m (No. 12), with a = 7.380 Å, b = 14.046 Å, c = 5.106 Å, α = 90.00°, β = 130.30° and γ = 90.00°. The asymmetric unit holds U at (0.000, 0.181, 0.000), Pd at (0.000, 0.306, 0.500), Pd at (0.035, 0.000, 0.279), Pd at (0.237, 0.365, 0.223) and Au at (0.000, 0.500, 0.500).

The value obtained for the magnetization is 6.73 μB per cell. For the electronic total energy, the calculation gives -6.361 eV/atom. The calculation puts the density of states at the Fermi level at 1.431 states/eV per atom.

This record from the Alexandria database describes a relaxed UPd3Au4 crystal. The functional is PBE.

It has space group C2/m (No. 12), with a = 13.139 Å, b = 4.530 Å, c = 5.268 Å, α = 90.00°, β = 108.24° and γ = 90.00°. The asymmetric unit holds U at (0.000, 0.000, 0.000), Pd at (0.000, 0.500, 0.500), Pd at (0.135, 0.500, 0.213), Au at (0.130, 0.000, 0.580) and Au at (0.240, 0.500, 0.822).

The value obtained for the magnetization is 4.60 μB per cell. For the electronic total energy, the calculation gives -5.163 eV/atom. The calculation puts the density of states at the Fermi level at 1.195 states/eV per atom.

This record from the Alexandria database describes a relaxed UPd4Au crystal. The functional is PBE.

It has space group F-43m (No. 216), with a = 7.520 Å, b = 7.520 Å, c = 7.520 Å, α = 90.00°, β = 90.00° and γ = 90.00°. The asymmetric unit holds U at (0.000, 0.000, 0.000), Pd at (0.125, 0.125, 0.375) and Au at (0.250, 0.250, 0.750).

The value obtained for the magnetization is 6.30 μB per cell. As for the distance to the lowest polymorph of the same formula: 0 meV per atom. The calculation puts the density of states at the Fermi level at 1.446 states/eV per atom.